1.
Li2CaRe, optimized geometry, DFT PBE; SG = Pmmm; energy above the most stable polymorph in this dataset = 133 meV per atom; spin magnetization = 0.00 μB/cell; calculated total energy = -3.964 eV/atom; V = 73 Å³ per cell
1.0
2.6926 0.0000 0.0000
0.0000 4.6371 0.0000
0.0000 0.0000 5.8717
Re Li Ca
1 2 1
direct
0.5000 0.5000 0.2500 Re
0.0000 0.0000 0.4417 Li
0.0000 0.0000 0.0583 Li
0.5000 0.5000 0.7500 Ca


2.
CuAs2Pd2, optimized geometry, DFT PBE; SG = P4/mbm; energy above the most stable polymorph in this dataset = 0 meV per atom; spin magnetization = 0.00 μB/cell; calculated total energy = -4.814 eV/atom; V = 167 Å³ per cell
1.0
7.0689 0.0000 0.0000
0.0000 7.0689 0.0000
0.0000 0.0000 3.3396
Cu Pd As
2 4 4
direct
0.0000 0.0000 0.0000 Cu
0.5000 0.5000 0.0000 Cu
0.8564 0.6436 0.0000 Pd
0.3564 0.8564 0.0000 Pd
0.6436 0.1436 0.0000 Pd
0.1436 0.3564 0.0000 Pd
0.8399 0.3399 0.5000 As
0.6601 0.8399 0.5000 As
0.3399 0.1601 0.5000 As
0.1601 0.6601 0.5000 As


Q: Among the records above, which one has the lowest V?
A: Li2CaRe